Material: Ba6Mo3O14
Method: DFT, PBE+U
State: relaxed

CIF file:
```
data_Ba6Mo3O14
_cell_length_a 5.164
_cell_length_b 9.939
_cell_length_c 9.939
_cell_angle_alpha 120.00
_cell_angle_beta 90.00
_cell_angle_gamma 90.00
_space_group_name_H-M_alt 'P 1'
_space_group_IT_number 1
_space_group_name_Hall 'P 1'
loop_
_atom_site_label
_atom_site_type_symbol
_atom_site_fract_x
_atom_site_fract_y
_atom_site_fract_z
_atom_site_occupancy
Ba1 Ba 0.241 0.762 0.092 1
Ba2 Ba 0.241 0.908 0.670 1
Ba3 Ba 0.241 0.330 0.238 1
Ba4 Ba 0.777 0.568 0.571 1
Ba5 Ba 0.777 0.429 0.997 1
Ba6 Ba 0.777 0.003 0.432 1
Mo1 Mo 0.808 0.000 0.000 1
Mo2 Mo 0.336 0.333 0.667 1
Mo3 Mo 0.505 0.667 0.333 1
O1 O 0.932 0.056 0.190 1
O2 O 0.932 0.810 0.866 1
O3 O 0.932 0.134 0.944 1
O4 O 0.456 0.275 0.475 1
O5 O 0.456 0.525 0.800 1
O6 O 0.456 0.200 0.725 1
O7 O 0.461 0.000 0.000 1
O8 O 0.987 0.333 0.667 1
O9 O 0.721 0.727 0.188 1
O10 O 0.721 0.812 0.539 1
O11 O 0.721 0.461 0.273 1
O12 O 0.289 0.609 0.480 1
O13 O 0.289 0.520 0.128 1
O14 O 0.289 0.872 0.391 1
```

Computed properties:
For the volume, the calculation gives 441.8 Å³/cell. Its space group is P3, No. 143. The value obtained for the total energy is -0.248 hartree per atom.